A plane-wave DFT calculation with PBE-GGA was carried out for KCdAs2Br after structural relaxation.

Unit cell a=7.154 b=7.154 c=5.995 alpha=90.00 beta=90.00 gamma=90.00
Last column: magnetic moment on the atom in μB.
Fractional coordinates of all 5 atoms:
K 0.000 0.000 0.000  0.02
As 0.000 0.500 0.000  1.22
Cd 0.500 0.500 0.500  0.06
Br 0.000 0.000 0.500  0.09
As 0.500 0.000 0.000  1.22

## Properties
distance to the lowest polymorph of the same formula	748	meV per atom
formation energy from raw total energies	0.756	eV/atom
calculated density	2063	kg/m3
space group	P4/mmm
VASP energy	-9.20	eV/cell